1.
DFT (PBE-GGA) results for a geometry-optimized LaTb2Tm5 structure.

Cell: 7.0914 7.0753 19.9272 Å, 90.00 90.00 90.00°
With the nearest neighbours (Å) after each atom.
Atoms (fractional coordinates):
Tb 0.2523 0.0000 0.5000  4 Tb 3.51-3.58, 6 Tm 3.53-3.54, 2 La 3.55
Tb 0.7477 0.5000 0.0000  4 Tb 3.51-3.58, 6 Tm 3.53-3.54, 2 La 3.55
Tb 0.5000 0.2520 0.3743  8 Tm 3.51-3.54, 2 Tb 3.54, 2 La 3.55
Tb 0.5000 0.2480 0.8743  8 Tm 3.51-3.54, 2 Tb 3.54, 2 La 3.55
Tb 0.5000 0.7520 0.1257  8 Tm 3.51-3.54, 2 Tb 3.54, 2 La 3.55
Tb 0.5000 0.7480 0.6257  8 Tm 3.51-3.54, 2 Tb 3.54, 2 La 3.55
Tb 0.7477 0.0000 0.5000  4 Tb 3.51-3.58, 6 Tm 3.53-3.54, 2 La 3.55
Tb 0.2523 0.5000 0.0000  4 Tb 3.51-3.58, 6 Tm 3.53-3.54, 2 La 3.55
Tm 0.7473 0.4983 0.7500  8 Tm 3.51-3.58, 2 Tb 3.51, 2 La 3.53
Tm 0.2527 0.9983 0.7500  8 Tm 3.51-3.58, 2 Tb 3.51, 2 La 3.53
Tm 0.0000 0.2511 0.1255  8 Tm 3.53-3.55, 2 La 3.53-3.54, 2 Tb 3.54
Tm 0.5000 0.7487 0.8745  8 Tm 3.51-3.55, 4 Tb 3.53-3.54
Tm 0.2527 0.0017 0.2500  8 Tm 3.51-3.58, 2 Tb 3.51, 2 La 3.53
Tm 0.2527 0.4983 0.7500  8 Tm 3.51-3.58, 2 Tb 3.51, 2 La 3.53
Tm 0.7473 0.9983 0.7500  8 Tm 3.51-3.58, 2 Tb 3.51, 2 La 3.53
Tm 0.7473 0.5000 0.5000  6 Tm 3.51-3.58, 4 Tb 3.53-3.54, 2 La 3.55
Tm 0.0000 0.2489 0.6255  8 Tm 3.53-3.55, 2 La 3.53-3.54, 2 Tb 3.54
Tm 0.2527 0.5017 0.2500  8 Tm 3.51-3.58, 2 Tb 3.51, 2 La 3.53
Tm 0.5000 0.2487 0.6255  8 Tm 3.51-3.55, 4 Tb 3.53-3.54
Tm 0.5000 0.7513 0.3745  8 Tm 3.51-3.55, 4 Tb 3.53-3.54
Tm 0.2527 0.0000 0.0000  6 Tm 3.51-3.58, 4 Tb 3.53-3.54, 2 La 3.55
Tm 0.7473 0.5017 0.2500  8 Tm 3.51-3.58, 2 Tb 3.51, 2 La 3.53
Tm 0.5000 0.2513 0.1255  8 Tm 3.51-3.55, 4 Tb 3.53-3.54
Tm 0.0000 0.7489 0.8745  8 Tm 3.53-3.55, 2 La 3.53-3.54, 2 Tb 3.54
Tm 0.7473 0.0017 0.2500  8 Tm 3.51-3.58, 2 Tb 3.51, 2 La 3.53
Tm 0.2527 0.5000 0.5000  6 Tm 3.51-3.58, 4 Tb 3.53-3.54, 2 La 3.55
Tm 0.7473 0.0000 0.0000  6 Tm 3.51-3.58, 4 Tb 3.53-3.54, 2 La 3.55
Tm 0.0000 0.7511 0.3745  8 Tm 3.53-3.55, 2 La 3.53-3.54, 2 Tb 3.54
La 0.0000 0.2507 0.3743  8 Tm 3.53-3.55, 4 Tb 3.55
La 0.0000 0.7507 0.1257  8 Tm 3.53-3.55, 4 Tb 3.55
La 0.0000 0.7493 0.6257  8 Tm 3.53-3.55, 4 Tb 3.55
La 0.0000 0.2493 0.8743  8 Tm 3.53-3.55, 4 Tb 3.55

Computed properties:
- ΔE_f: 25 meV per atom
- DOS(E_F): 40.3 states/eV/cell
- Total energy: -4.5429 eV per atom

***

2.
DFT (PBE-GGA) results for a geometry-optimized ScCuNiHg structure.

Cell: 4.4840 4.4840 4.4840 Å, 60.00 60.00 60.00°
With the nearest neighbours (Å) after each atom.
Atoms (fractional coordinates):
Hg 0.0000 0.0000 0.0000  4 Ni 2.75, 4 Cu 2.75
Sc 0.5000 0.5000 0.5000  4 Ni 2.75, 4 Cu 2.75
Cu 0.7500 0.7500 0.7500  4 Sc 2.75, 4 Hg 2.75
Ni 0.2500 0.2500 0.2500  4 Hg 2.75, 4 Sc 2.75

Computed properties:
- ΔE_f: -225 meV per atom
- DOS(E_F): 1.9 states/eV/cell
- Total energy: -4.3526 eV per atom

***

3.
DFT (PBE-GGA) results for a geometry-optimized Ac3Sm2Tl2 structure.

Cell: 5.1949 3.7940 13.0077 Å, 90.00 78.48 90.00°
With the nearest neighbours (Å) after each atom.
Atoms (fractional coordinates):
Ac 0.1463 0.0000 0.7073  6 Sm 3.67-3.99, 4 Tl 3.69, 3 Ac 3.73-3.79
Ac 0.8537 0.0000 0.2927  6 Sm 3.67-3.99, 4 Tl 3.69, 3 Ac 3.73-3.79
Ac 0.0000 0.0000 0.0000  4 Ac 3.73-3.79, 8 Tl 3.75
Sm 0.2842 0.5000 0.4316  2 Sm 3.13
Sm 0.7158 0.5000 0.5684  2 Sm 3.13
Tl 0.4244 0.5000 0.1512  1 Sm 3.57, 8 Ac 3.69-3.75, 3 Tl 3.79-3.85
Tl 0.5756 0.5000 0.8488  1 Sm 3.57, 8 Ac 3.69-3.75, 3 Tl 3.79-3.85

Computed properties:
- ΔE_f: -81 meV per atom
- DOS(E_F): 7.4 states/eV/cell
- Total energy: -3.8661 eV per atom

***

4.
DFT (PBE-GGA) results for a geometry-optimized Te2PtN structure.

Cell: 8.7588 8.7588 8.7588 Å, 21.22 21.22 21.22°
With the nearest neighbours (Å) after each atom.
Atoms (fractional coordinates):
N 0.5000 0.5000 0.5000  6 Te 2.49
Te 0.1021 0.1021 0.1021  3 N 2.49, 1 Pt 2.62
Te 0.8979 0.8979 0.8979  3 N 2.49, 1 Pt 2.62
Pt 0.0000 0.0000 0.0000  2 Te 2.62

Computed properties:
- Formation energy from raw total energies: 936 meV per atom
- DOS(E_F): 1.8 states/eV/cell
- Total energy: -4.2263 eV per atom

***

5.
DFT (PBE-GGA) results for a geometry-optimized SrSiTe2Se structure.

Cell: 6.1096 5.9448 6.1096 Å, 90.00 90.00 90.00°
With the nearest neighbours (Å) after each atom.
Atoms (fractional coordinates):
Te 0.5000 0.0000 0.0000  2 Sr 3.05
Te 0.0000 0.0000 0.5000  2 Sr 3.05
Si 0.0000 0.5000 0.0000  2 Sr 2.97
Se 0.5000 0.5000 0.5000  8 Te 4.26, 4 Si 4.32
Sr 0.0000 0.0000 0.0000  2 Si 2.97, 4 Te 3.05

Computed properties:
- Formation energy from raw total energies: 917 meV per atom
- DOS(E_F): 5.8 states/eV/cell
- Total energy: -2.4574 eV per atom

***

6.
DFT (PBE-GGA) results for a geometry-optimized Si2Os structure.

Cell: 3.0050 4.6007 6.7725 Å, 80.04 77.22 70.97°
With the nearest neighbours (Å) after each atom.
Atoms (fractional coordinates):
Os 0.8441 0.1080 0.2021  8 Si 2.45-2.61
Os 0.1559 0.8920 0.7979  8 Si 2.45-2.61
Si 0.6048 0.6842 0.1053  5 Os 2.51-2.61, 2 Si 2.69
Si 0.8585 0.7549 0.5280  1 Si 2.29, 3 Os 2.45-2.50
Si 0.1415 0.2451 0.4720  1 Si 2.29, 3 Os 2.45-2.50
Si 0.3952 0.3158 0.8947  5 Os 2.51-2.61, 2 Si 2.69

Computed properties:
- Formation energy from raw total energies: -419 meV per atom
- DOS(E_F): 0.6 states/eV/cell
- Total energy: -7.7779 eV per atom

***

7.
DFT (PBE-GGA) results for a geometry-optimized Ce2FeGe3 structure.

Cell: 4.2781 5.8030 5.7045 Å, 73.09 67.98 68.37°
With the nearest neighbours (Å) after each atom.
Atoms (fractional coordinates):
Ce 0.5468 0.1808 0.7255  9 Ge 3.03-3.27, 3 Fe 3.20-3.36, 1 Ce 3.24
Ce 0.4379 0.8324 0.2917  8 Ge 2.99-3.22, 3 Fe 3.00-3.21, 1 Ce 3.24
Ge 0.8771 0.5955 0.6502  1 Fe 2.38
Ge 0.1879 0.7246 0.8995  1 Fe 2.49, 2 Ge 2.67
Ge 0.7888 0.2782 0.1442  2 Fe 2.38
Fe 0.1614 0.3884 0.2888  4 Ge 2.38-2.49

Computed properties:
- ΔE_f: -516 meV per atom
- DOS(E_F): 8.7 states/eV/cell
- Total energy: -6.2134 eV per atom
- Energy above the lowest structure with this stoichiometry: 48 meV/atom

***

8.
DFT (PBE-GGA) results for a geometry-optimized Sr2ErBiO5 structure.

Cell: 3.5421 7.1777 12.8510 Å, 90.00 90.00 104.29°
With the nearest neighbours (Å) after each atom.
Atoms (fractional coordinates):
Er 0.2552 0.5104 0.0220  6 O 2.19-2.41
Er 0.7448 0.4896 0.5220  6 O 2.19-2.41
O 0.2423 0.4845 0.6488  2 Er 2.41, 3 Sr 2.50-2.61
O 0.9104 0.8207 0.5474  2 Bi 2.29, 1 Er 2.33
O 0.2649 0.5298 0.4171  2 Er 2.24, 1 Sr 2.43
O 0.7351 0.4702 0.9171  2 Er 2.24, 1 Sr 2.43
O 0.7577 0.5155 0.1488  2 Er 2.41, 3 Sr 2.50-2.61
O 0.0896 0.1793 0.0474  2 Bi 2.29, 1 Er 2.33
O 0.5876 0.1752 0.5354  1 Bi 2.18, 1 Er 2.19
O 0.4698 0.9396 0.7788  1 Bi 2.38, 4 Sr 2.60-2.61
O 0.4124 0.8248 0.0354  1 Bi 2.18, 1 Er 2.19
O 0.5302 0.0604 0.2788  1 Bi 2.38, 4 Sr 2.60-2.61
Sr 0.0635 0.1269 0.6688  6 O 2.49-2.64
Sr 0.8336 0.6672 0.7607  5 O 2.43-2.61
Sr 0.1664 0.3328 0.2607  5 O 2.43-2.61
Sr 0.9365 0.8731 0.1688  6 O 2.49-2.64
Bi 0.4552 0.9104 0.4450  4 O 2.18-2.38
Bi 0.5448 0.0896 0.9450  4 O 2.18-2.38

Computed properties:
- Formation energy from raw total energies: -2505 meV per atom
- DOS(E_F): 0.0 states/eV/cell
- Total energy: -6.5713 eV per atom

***

9.
DFT (PBE-GGA) results for a geometry-optimized Tl2Te2Pd structure.

Cell: 7.1815 7.1815 5.8311 Å, 90.00 90.00 90.00°
With the nearest neighbours (Å) after each atom.
Atoms (fractional coordinates):
Pd 0.5000 0.5000 0.0000  4 Te 2.72
Pd 0.0000 0.0000 0.0000  4 Te 2.72
Tl 0.3302 0.1698 0.5000  6 Te 3.42-3.73, 5 Tl 3.45-3.77
Tl 0.1698 0.6698 0.5000  6 Te 3.42-3.73, 5 Tl 3.45-3.77
Tl 0.6698 0.8302 0.5000  6 Te 3.42-3.73, 5 Tl 3.45-3.77
Tl 0.8302 0.3302 0.5000  6 Te 3.42-3.73, 5 Tl 3.45-3.77
Te 0.8456 0.6544 0.0000  2 Pd 2.72
Te 0.3456 0.8456 0.0000  2 Pd 2.72
Te 0.1544 0.3456 0.0000  2 Pd 2.72
Te 0.6544 0.1544 0.0000  2 Pd 2.72

Computed properties:
- Formation energy from raw total energies: -181 meV per atom
- DOS(E_F): 2.6 states/eV/cell
- Total energy: -3.4225 eV per atom

***

10.
DFT (PBE-GGA) results for a geometry-optimized TaH2WSe structure.

Cell: 3.6539 5.5628 3.6539 Å, 90.00 90.00 90.00°
With the nearest neighbours (Å) after each atom.
Atoms (fractional coordinates):
H 0.0000 0.0000 0.5000  2 Se 1.83
H 0.5000 0.0000 0.0000  2 Se 1.83
Ta 0.5000 0.5000 0.5000  4 W 2.58
W 0.0000 0.5000 0.0000  4 Ta 2.58, 2 Se 2.78
Se 0.0000 0.0000 0.0000  4 H 1.83

Computed properties:
- DOS(E_F): 4.0 states/eV/cell
- Total energy: -5.9042 eV per atom

***

11.
DFT (PBE-GGA) results for a geometry-optimized Au3ICl structure.

Cell: 5.3533 5.3533 5.3533 Å, 90.00 90.00 90.00°
With the nearest neighbours (Å) after each atom.
Atoms (fractional coordinates):
Au 0.0000 0.5000 0.0000  2 I 2.68
Au 0.0000 0.0000 0.5000  2 I 2.68
Au 0.5000 0.0000 0.0000  2 I 2.68
Cl 0.5000 0.5000 0.5000  12 Au 3.79
I 0.0000 0.0000 0.0000  6 Au 2.68

Computed properties:
- Formation energy from raw total energies: 666 meV per atom
- DOS(E_F): 2.8 states/eV/cell
- Total energy: -1.9799 eV per atom

***

12.
DFT (PBE-GGA) results for a geometry-optimized DyHo3ThSc structure.

Cell: 4.9316 7.7762 9.9857 Å, 90.00 90.00 108.49°
With the nearest neighbours (Å) after each atom.
Atoms (fractional coordinates):
Ho 0.1682 0.3364 0.7501  2 Sc 3.48, 6 Ho 3.50-3.51, 2 Dy 3.52, 2 Th 3.53
Ho 0.8318 0.6636 0.2499  2 Sc 3.48, 6 Ho 3.50-3.51, 2 Dy 3.52, 2 Th 3.53
Ho 0.3346 0.6693 0.4997  2 Th 3.46-3.52, 2 Dy 3.47, 5 Ho 3.50-3.51, 3 Sc 3.51-3.53
Ho 0.6654 0.3307 0.5003  2 Th 3.46-3.52, 2 Dy 3.47, 5 Ho 3.50-3.51, 3 Sc 3.51-3.53
Ho 0.6654 0.3308 0.9997  2 Th 3.46-3.52, 2 Dy 3.47, 5 Ho 3.50-3.51, 3 Sc 3.51-3.53
Ho 0.3346 0.6692 0.0003  2 Th 3.46-3.52, 2 Dy 3.47, 5 Ho 3.50-3.51, 3 Sc 3.51-3.53
Th 0.5028 0.0057 0.2499  2 Sc 3.44, 6 Ho 3.46-3.53, 4 Dy 3.51
Th 0.4972 0.9943 0.7501  2 Sc 3.44, 6 Ho 3.46-3.53, 4 Dy 3.51
Dy 0.0000 0.0000 0.5000  6 Ho 3.47-3.52, 2 Sc 3.49, 4 Th 3.51
Dy 0.0000 0.0000 0.0000  6 Ho 3.47-3.52, 2 Sc 3.49, 4 Th 3.51
Sc 0.1651 0.3302 0.2499  2 Th 3.44, 8 Ho 3.48-3.53, 2 Dy 3.49
Sc 0.8349 0.6698 0.7501  2 Th 3.44, 8 Ho 3.48-3.53, 2 Dy 3.49

Computed properties:
- ΔE_f: 48 meV per atom
- DOS(E_F): 19.6 states/eV/cell
- Total energy: -5.2994 eV per atom